Model a:
{
  "formula": "CeHfP2",
  "functional": "PBE",
  "state": "optimized geometry",
  "total_magnetization_mub_per_fu": 0.7,
  "n_ef_per_ev_atom": 1.2116,
  "vol_a3_per_atom": 21.0,
  "cell": [[1.889, 1.090, 6.789], [-1.889, 1.090, 6.789], [0.000, -2.181, 6.789]],
  "species": ["Ce", "Hf", "P", "P"],
  "fractional_positions": [[0.000, 0.000, 0.000], [0.826, 0.826, 0.826], [0.237, 0.237, 0.237], [0.422, 0.422, 0.422]]
}



Model b:
{
  "formula": "CeHfP2",
  "functional": "PBE",
  "state": "optimized geometry",
  "total_magnetization_mub_per_fu": 0.0,
  "n_ef_per_ev_atom": 0.8057,
  "vol_a3_per_atom": 20.6,
  "cell": [[1.934, 1.117, 6.360], [-1.934, 1.117, 6.360], [0.000, -2.233, 6.360]],
  "species": ["Ce", "Hf", "P", "P"],
  "fractional_positions": [[0.000, 0.000, 0.000], [0.500, 0.500, 0.500], [0.242, 0.242, 0.242], [0.758, 0.758, 0.758]]
}



Relative energies, in meV per atom, with the most stable structure set to zero: model a 125; model b 0.